[1]
## Pr4Ru2Au (PBE)

Data for a geometry-optimized Pr4Ru2Au structure.

Summary:
V in A^3/atom: 26.45
ΔH_f (0 K) in eV/atom: -0.289

a = 7.8115 Å, b = 7.8148 Å, c = 7.8551 Å
α = 109.27°, β = 110.25°, γ = 108.63°
Space group P1 (No. 1)
Asymmetric unit:
1 Pr 0.0000 0.0000 0.0000 [1 per cell]
2 Pr 0.0254 0.5194 0.0172 [1 per cell]
3 Pr 0.1344 0.3674 0.5026 [1 per cell]
4 Pr 0.3970 0.2392 0.9077 [1 per cell]
5 Pr 0.4657 0.8563 0.5950 [1 per cell]
6 Pr 0.4991 0.8860 0.1155 [1 per cell]
7 Pr 0.6364 0.3761 0.4847 [1 per cell]
8 Pr 0.9062 0.7520 0.3880 [1 per cell]
9 Ru 0.1219 0.7381 0.7516 [1 per cell]
10 Ru 0.2563 0.0103 0.3694 [1 per cell]
11 Ru 0.3401 0.4568 0.2510 [1 per cell]
12 Ru 0.7758 0.2542 0.1328 [1 per cell]
13 Au 0.6239 0.6090 0.8732 [1 per cell]
14 Au 0.8698 0.1181 0.6293 [1 per cell]



[2]
## Pr2RuAu (PBE)

Data for a geometry-optimized Pr2RuAu structure.

Summary:
V in A^3/atom: 24.27
ΔH_f (0 K) in eV/atom: -0.440

a = 3.5677 Å, b = 3.5677 Å, c = 7.6285 Å
α = 90.00°, β = 90.00°, γ = 90.00°
Space group P4/mmm (No. 123)
Asymmetric unit:
1 Pr 0.0000 0.0000 0.2307 [2 per cell]
2 Ru 0.5000 0.5000 0.0000 [1 per cell]
3 Au 0.5000 0.5000 0.5000 [1 per cell]



[3]
## Pr6Ru2Au (PBE)

Data for a geometry-optimized Pr6Ru2Au structure.

Summary:
Energy relative to the lowest polymorph listed for this composition in eV per atom: 0.078
V in A^3/atom: 30.08
ΔH_f (0 K) in eV/atom: -0.210

a = 14.0650 Å, b = 4.6034 Å, c = 10.3156 Å
α = 90.00°, β = 125.84°, γ = 90.00°
Space group C2/m (No. 12)
Asymmetric unit:
1 Pr 0.0072 0.0000 0.1902 [4 per cell]
2 Pr 0.1490 0.5000 0.5275 [4 per cell]
3 Pr 0.2275 0.5000 0.1242 [4 per cell]
4 Ru 0.1028 0.5000 0.7718 [4 per cell]
5 Au 0.0000 0.0000 0.5000 [2 per cell]



[4]
## Pr8RuAu2 (PBE)

Data for a geometry-optimized Pr8RuAu2 structure.

Summary:
Energy relative to the lowest polymorph listed for this composition in eV per atom: 0.000
V in A^3/atom: 30.59
ΔH_f (0 K) in eV/atom: -0.311

a = 18.6678 Å, b = 4.8484 Å, c = 7.4428 Å
α = 90.00°, β = 92.39°, γ = 90.00°
Space group C2/m (No. 12)
Asymmetric unit:
1 Pr 0.0122 0.0000 0.2732 [4 per cell]
2 Pr 0.0932 0.5000 0.9812 [4 per cell]
3 Pr 0.1470 0.5000 0.4933 [4 per cell]
4 Pr 0.2163 0.0000 0.8300 [4 per cell]
5 Ru 0.0000 0.5000 0.5000 [2 per cell]
6 Au 0.1829 0.0000 0.2353 [4 per cell]



[5]
## Pr8RuAu2 (PBE)

Data for a geometry-optimized Pr8RuAu2 structure.

Summary:
Energy relative to the lowest polymorph listed for this composition in eV per atom: 0.096
V in A^3/atom: 32.54
ΔH_f (0 K) in eV/atom: -0.215

a = 9.2555 Å, b = 13.3452 Å, c = 6.4605 Å
α = 90.00°, β = 116.21°, γ = 90.00°
Space group Cm (No. 8)
Asymmetric unit:
1 Pr 0.0000 0.0000 0.0000 [2 per cell]
2 Pr 0.1049 0.3617 0.8920 [4 per cell]
3 Pr 0.1374 0.1304 0.5864 [4 per cell]
4 Pr 0.2303 0.5000 0.4238 [2 per cell]
5 Pr 0.3686 0.1472 0.2476 [4 per cell]
6 Ru 0.3840 0.0000 0.9627 [2 per cell]
7 Au 0.3560 0.3074 0.6988 [4 per cell]



[6]
## Pr8RuAu5 (PBE)

Data for a geometry-optimized Pr8RuAu5 structure.

Summary:
V in A^3/atom: 28.33
ΔH_f (0 K) in eV/atom: -0.551

a = 9.1581 Å, b = 9.1581 Å, c = 9.4566 Å
α = 90.00°, β = 90.00°, γ = 90.00°
Space group I-4 (No. 82)
Asymmetric unit:
1 Pr 0.0564 0.3201 0.4501 [8 per cell]
2 Pr 0.0689 0.2070 0.8098 [8 per cell]
3 Ru 0.0000 0.5000 0.7500 [2 per cell]
4 Au 0.0000 0.0000 0.5000 [2 per cell]
5 Au 0.1148 0.2464 0.1349 [8 per cell]



[7]
## PrScRuAu (PBE)

Data for a geometry-optimized PrScRuAu structure.

Summary:
V in A^3/atom: 21.25
ΔH_f (0 K) in eV/atom: -0.427

a = 6.9800 Å, b = 6.9800 Å, c = 6.9800 Å
α = 90.00°, β = 90.00°, γ = 90.00°
Space group F-43m (No. 216)
Asymmetric unit:
1 Pr 0.0000 0.0000 0.0000 [4 per cell]
2 Sc 0.0000 0.0000 0.5000 [4 per cell]
3 Ru 0.2500 0.2500 0.2500 [4 per cell]
4 Au 0.2500 0.2500 0.7500 [4 per cell]



[8]
## PrYRuAu (PBE)

Data for a geometry-optimized PrYRuAu structure.

Summary:
V in A^3/atom: 22.94
ΔH_f (0 K) in eV/atom: -0.457

a = 7.1599 Å, b = 7.1599 Å, c = 7.1599 Å
α = 90.00°, β = 90.00°, γ = 90.00°
Space group F-43m (No. 216)
Asymmetric unit:
1 Pr 0.0000 0.0000 0.0000 [4 per cell]
2 Y 0.0000 0.0000 0.5000 [4 per cell]
3 Ru 0.2500 0.2500 0.7500 [4 per cell]
4 Au 0.2500 0.2500 0.2500 [4 per cell]



[9]
## Pr2AuS (PBE)

Data for a geometry-optimized Pr2AuS structure.

Summary:
Energy relative to the lowest polymorph listed for this composition in eV per atom: 0.000
V in A^3/atom: 26.13
Formation energy from raw total energies in meV per atom: -1377

a = 4.0590 Å, b = 23.8687 Å, c = 4.3153 Å
α = 90.00°, β = 90.00°, γ = 90.00°
Space group Cmcm (No. 63)
Asymmetric unit:
1 Pr 0.0000 0.0715 0.2500 [4 per cell]
2 Pr 0.0000 0.3106 0.2500 [4 per cell]
3 Au 0.0000 0.4564 0.2500 [4 per cell]
4 S 0.0000 0.1910 0.2500 [4 per cell]



[10]
## PrAuS2 (PBE)

Data for a geometry-optimized PrAuS2 structure.

Summary:
Energy relative to the lowest polymorph listed for this composition in eV per atom: 0.000
V in A^3/atom: 22.56
Formation energy from raw total energies in meV per atom: -1259

a = 6.2319 Å, b = 7.2793 Å, c = 7.9559 Å
α = 90.00°, β = 90.00°, γ = 90.00°
Space group Pbcm (No. 57)
Asymmetric unit:
1 Pr 0.1622 0.0345 0.2500 [4 per cell]
2 Au 0.4952 0.7500 0.0000 [4 per cell]
3 S 0.0723 0.7500 0.0000 [4 per cell]
4 S 0.3845 0.0979 0.7500 [4 per cell]



[11]
## PrAuS2 (PBE)

Data for a geometry-optimized PrAuS2 structure.

Summary:
Energy relative to the lowest polymorph listed for this composition in eV per atom: 0.005
V in A^3/atom: 30.62
Formation energy from raw total energies in meV per atom: -1254

a = 4.3844 Å, b = 4.3844 Å, c = 22.0693 Å
α = 90.00°, β = 90.00°, γ = 120.00°
Space group R-3m (No. 166, hexagonal axes)
Asymmetric unit:
1 Pr 0.0000 0.0000 0.0000 [3 per cell]
2 Au 0.0000 0.0000 0.5000 [3 per cell]
3 S 0.0000 0.0000 0.3957 [6 per cell]